# 1
First-principles (PBE) data for a relaxed Er3Sb crystal, as listed in Alexandria via LeMat-Bulk.

abc: 4.7374 4.7414 4.7415
angles: 90.00 90.00 90.00
Last column: nearest neighbours and their distance in Å.
Fractional positions:
1 Sb 0.0000 0.5000 0.4167  12 Er 3.35
2 Er 0.0000 0.0000 0.9166  8 Er 3.35, 4 Sb 3.35
3 Er 0.5000 0.0000 0.4167  8 Er 3.35, 4 Sb 3.35
4 Er 0.5000 0.5000 0.9167  4 Sb 3.35, 8 Er 3.35

Computed properties:
- M_tot (μB per formula unit) = 0.0
- offset from the most stable computed form (meV/atom) = 118

# 2
First-principles (PBE) data for a relaxed Er5Sb4 crystal, as listed in Alexandria via LeMat-Bulk.

abc: 4.2889 8.7133 8.7133
angles: 86.53 75.75 75.75
Last column: nearest neighbours and their distance in Å.
Fractional positions:
1 Er 0.6024 0.6825 0.1128  5 Sb 3.02-3.14
2 Er 0.7151 0.8872 0.6825  5 Sb 3.02-3.14
3 Er 0.2849 0.1128 0.3175  5 Sb 3.02-3.14
4 Er 0.3976 0.3175 0.8872  5 Sb 3.02-3.14
5 Er 0.0000 0.0000 0.0000  4 Sb 3.07
6 Sb 0.7572 0.3275 0.1582  6 Er 3.02-3.14
7 Sb 0.9153 0.8418 0.3275  6 Er 3.02-3.14
8 Sb 0.0847 0.1582 0.6725  6 Er 3.02-3.14
9 Sb 0.2428 0.6725 0.8418  6 Er 3.02-3.14

Computed properties:
- M_tot (μB per formula unit) = 0.0
- electronic total energy (eV/atom) = -5.211

# 3
First-principles (PBE) data for a relaxed Er2Sb3 crystal, as listed in Alexandria via LeMat-Bulk.

abc: 4.7877 4.2313 8.9892
angles: 76.39 66.17 63.78
Last column: nearest neighbours and their distance in Å.
Fractional positions:
1 Er 0.5017 0.6508 0.1966  6 Sb 3.04-3.18
2 Er 0.4983 0.3492 0.8034  6 Sb 3.04-3.18
3 Sb 0.0000 0.0000 0.0000  6 Er 3.08-3.18
4 Sb 0.9763 0.3186 0.3866  2 Sb 2.95, 3 Er 3.04-3.12
5 Sb 0.0237 0.6814 0.6134  2 Sb 2.95, 3 Er 3.04-3.12

Computed properties:
- M_tot (μB per formula unit) = 0.0
- electronic total energy (eV/atom) = -4.950

# 4
First-principles (PBE) data for a relaxed Er3Sb crystal, as listed in Alexandria via LeMat-Bulk.

abc: 6.0689 9.2401 9.2401
angles: 83.81 70.83 70.83
Last column: nearest neighbours and their distance in Å.
Fractional positions:
1 Er 0.3691 0.9727 0.8111  2 Sb 3.18-3.34, 2 Er 3.33-3.46
2 Er 0.1528 0.0273 0.1889  2 Sb 3.18-3.34, 2 Er 3.33-3.46
3 Er 0.8198 0.8111 0.0273  2 Sb 3.18-3.34, 2 Er 3.33-3.46
4 Er 0.6582 0.1889 0.9727  2 Sb 3.18-3.34, 2 Er 3.33-3.46
5 Er 0.5552 0.3227 0.6086  4 Sb 3.09-3.13
6 Er 0.4866 0.6773 0.3914  4 Sb 3.09-3.13
7 Er 0.8361 0.6086 0.6773  4 Sb 3.09-3.13
8 Er 0.1221 0.3914 0.3227  4 Sb 3.09-3.13
9 Er 0.9665 0.9587 0.6094  3 Sb 3.11-3.27, 2 Er 3.46-3.47
10 Er 0.5346 0.0413 0.3906  3 Sb 3.11-3.27, 2 Er 3.46-3.47
11 Er 0.4241 0.6094 0.0413  3 Sb 3.11-3.27, 2 Er 3.46-3.47
12 Er 0.0748 0.3906 0.9587  3 Sb 3.11-3.27, 2 Er 3.46-3.47
13 Sb 0.0692 0.2566 0.6530  9 Er 3.09-3.34
14 Sb 0.9788 0.7434 0.3470  9 Er 3.09-3.34
15 Sb 0.2778 0.6530 0.7434  9 Er 3.09-3.34
16 Sb 0.6742 0.3470 0.2566  9 Er 3.09-3.34

Computed properties:
- M_tot (μB per formula unit) = 0.0
- offset from the most stable computed form (meV/atom) = 19

# 5
First-principles (PBE) data for a relaxed ErSb3 crystal, as listed in Alexandria via LeMat-Bulk.

abc: 4.4519 4.4519 6.2663
angles: 110.81 110.81 90.00
Last column: nearest neighbours and their distance in Å.
Fractional positions:
1 Sb 0.7500 0.2500 0.5000  8 Sb 3.15-3.51, 4 Er 3.51
2 Sb 0.2500 0.7500 0.5000  8 Sb 3.15-3.51, 4 Er 3.51
3 Sb 0.5000 0.5000 0.0000  4 Er 3.15, 8 Sb 3.51
4 Er 0.0000 0.0000 0.0000  12 Sb 3.15-3.51

Computed properties:
- M_tot (μB per formula unit) = 0.0
- offset from the most stable computed form (meV/atom) = 83

# 6
First-principles (PBE) data for a relaxed Er4Sb3 crystal, as listed in Alexandria via LeMat-Bulk.

abc: 7.8929 7.8929 7.8929
angles: 109.47 109.47 109.47
Last column: nearest neighbours and their distance in Å.
Fractional positions:
1 Er 0.0000 0.1461 0.0000  6 Sb 3.06-3.26
2 Er 0.5000 0.0000 0.6461  6 Sb 3.06-3.26
3 Er 0.3539 0.3539 0.8539  6 Sb 3.06-3.26
4 Er 0.1461 0.5000 0.5000  6 Sb 3.06-3.26
5 Er 0.0000 0.6461 0.0000  6 Sb 3.06-3.26
6 Er 0.5000 0.0000 0.1461  6 Sb 3.06-3.26
7 Er 0.6461 0.5000 0.5000  6 Sb 3.06-3.26
8 Er 0.8539 0.8539 0.3539  6 Sb 3.06-3.26
9 Sb 0.3750 0.6250 0.2500  8 Er 3.06-3.26
10 Sb 0.1250 0.8750 0.7500  8 Er 3.06-3.26
11 Sb 0.8750 0.2500 0.6250  8 Er 3.06-3.26
12 Sb 0.6250 0.7500 0.8750  8 Er 3.06-3.26
13 Sb 0.7500 0.3750 0.1250  8 Er 3.06-3.26
14 Sb 0.2500 0.1250 0.3750  8 Er 3.06-3.26

Computed properties:
- M_tot (μB per formula unit) = 0.0
- offset from the most stable computed form (meV/atom) = 0

Ordered DOS(E_F) results: 5.4, 4.0, 2.2, 21.0, 2.0, 13.8; unit states/eV/cell.
Ordered calculated density results: 9.7, 7.2, 7.8, 9.0, 8.2, 9.1; unit g cm⁻³.
Ordered calculated volume results: 26.63, 33.99, 29.82, 28.89, 26.85, 27.04; unit A^3/atom.